# PBE Mg4VPd15, optimized geometry
data_Mg4VPd15
_space_group_name_H-M_alt 'P 4/m m m'
_space_group_IT_number 123
_space_group_name_Hall '-P 4 2'
_cell_length_a 3.946
_cell_length_b 3.946
_cell_length_c 19.803
_cell_angle_alpha 90.00
_cell_angle_beta 90.00
_cell_angle_gamma 90.00
loop_
_atom_site_label
_atom_site_type_symbol
_atom_site_fract_x
_atom_site_fract_y
_atom_site_fract_z
Mg1 Mg 0.000 0.000 0.102
Mg2 Mg 0.000 0.000 0.302
V1 V 0.000 0.000 0.500
Pd1 Pd 0.000 0.500 0.000
Pd2 Pd 0.000 0.500 0.202
Pd3 Pd 0.000 0.500 0.406
Pd4 Pd 0.500 0.500 0.100
Pd5 Pd 0.500 0.500 0.304
Pd6 Pd 0.500 0.500 0.500
# ΔH_f (0 K) in eV/atom: -0.44
# M_tot in Bohr magnetons per cell: 0.0

=====

# PBE NbReO6, optimized geometry
data_NbReO6
_space_group_name_H-M_alt 'C 1 2/m 1'
_space_group_IT_number 12
_cell_length_a 4.890
_cell_length_b 9.782
_cell_length_c 4.888
_cell_angle_alpha 90.00
_cell_angle_beta 104.52
_cell_angle_gamma 90.00
loop_
_space_group_symop_operation_xyz
'x,y,z'
'-x,-y,-z'
'-x,y,-z'
'x,-y,z'
'x+1/2,y+1/2,z'
'-x+1/2,-y+1/2,-z'
'-x+1/2,y+1/2,-z'
'x+1/2,-y+1/2,z'
loop_
_atom_site_label
_atom_site_type_symbol
_atom_site_fract_x
_atom_site_fract_y
_atom_site_fract_z
Nb1 Nb 0.000 0.000 0.000
Re1 Re 0.000 0.500 0.500
O1 O 0.233 0.370 0.735
O2 O 0.247 0.500 0.255
# Formation energy from raw total energies in eV per atom: -1.75
# M_tot in Bohr magnetons per cell: 0.0

=====

# PBE Zr2TaAl, optimized geometry
data_Zr2TaAl
_space_group_name_H-M_alt 'P 1 m 1'
_space_group_IT_number 6
_cell_length_a 3.119
_cell_length_b 4.938
_cell_length_c 5.268
_cell_angle_alpha 90.00
_cell_angle_beta 93.73
_cell_angle_gamma 90.00
loop_
_space_group_symop_operation_xyz
'x,y,z'
'x,-y,z'
loop_
_atom_site_label
_atom_site_type_symbol
_atom_site_fract_x
_atom_site_fract_y
_atom_site_fract_z
Zr1 Zr 0.000 0.000 0.000
Zr2 Zr 0.103 0.500 0.620
Ta1 Ta 0.562 0.000 0.481
Al1 Al 0.550 0.500 0.139
# ΔH_f (0 K) in eV/atom: -0.12
# M_tot in Bohr magnetons per cell: 0.0

=====

# PBE BaSrSe, optimized geometry
data_BaSrSe
_space_group_name_H-M_alt 'F -4 3 m'
_space_group_IT_number 216
_space_group_name_Hall 'F -4 2 3'
_cell_length_a 7.706
_cell_length_b 7.706
_cell_length_c 7.706
_cell_angle_alpha 90.00
_cell_angle_beta 90.00
_cell_angle_gamma 90.00
loop_
_atom_site_label
_atom_site_type_symbol
_atom_site_fract_x
_atom_site_fract_y
_atom_site_fract_z
Ba1 Ba 0.000 0.000 0.000
Sr1 Sr 0.000 0.000 0.500
Se1 Se 0.250 0.250 0.250
# Formation energy from raw total energies in eV per atom: -1.01
# Energy above the most stable polymorph in this dataset in eV/atom: 0.243
# M_tot in Bohr magnetons per cell: 0.0

=====

# PBE HoInHg4, optimized geometry
data_HoInHg4
_space_group_name_H-M_alt 'P m m m'
_space_group_IT_number 47
_cell_length_a 4.400
_cell_length_b 4.412
_cell_length_c 8.847
_cell_angle_alpha 90.00
_cell_angle_beta 90.00
_cell_angle_gamma 90.00
loop_
_space_group_symop_operation_xyz
'x,y,z'
'-x,-y,-z'
'-x,-y,z'
'x,y,-z'
'x,-y,-z'
'-x,y,z'
'-x,y,-z'
'x,-y,z'
loop_
_atom_site_label
_atom_site_type_symbol
_atom_site_fract_x
_atom_site_fract_y
_atom_site_fract_z
Ho1 Ho 0.000 0.000 0.000
In1 In 0.500 0.500 0.500
Hg1 Hg 0.000 0.500 0.248
Hg2 Hg 0.500 0.000 0.249
# ΔH_f (0 K) in eV/atom: -0.07
# Energy above the most stable polymorph in this dataset in eV/atom: 0.096
# M_tot in Bohr magnetons per cell: 0.0

=====

# PBE Y2SiS, optimized geometry
data_Y2SiS
_space_group_name_H-M_alt 'R -3 m'
_space_group_IT_number 166
_space_group_name_Hall '-R 3 2"'
_cell_length_a 4.0201
_cell_length_b 4.0201
_cell_length_c 19.9949
_cell_angle_alpha 90.00
_cell_angle_beta 90.00
_cell_angle_gamma 120.00
loop_
_atom_site_label
_atom_site_type_symbol
_atom_site_fract_x
_atom_site_fract_y
_atom_site_fract_z
Y1 Y 0.0000 0.0000 0.2493
Si1 Si 0.0000 0.0000 0.5000
S1 S 0.0000 0.0000 0.0000
# Formation energy from raw total energies in eV per atom: -1.39
# Energy above the most stable polymorph in this dataset in eV/atom: 0.038
# M_tot in Bohr magnetons per cell: 0.0